Here is a geometry-optimized ReCIO2 structure from the Alexandria database. Energies are from GGA-PBE.

abc: 3.8863 3.8863 4.3409
angles: 90.00 90.00 90.00
Positions (direct):
Re: 0.0000 0.0000 0.0000
C: 0.5000 0.5000 0.5000
I: 0.5000 0.5000 0.0000
O: 0.0000 0.5000 0.5000
O: 0.5000 0.0000 0.5000

Calculated values
* space-group type: P4/mmm (123)
* crystal system: tetragonal
* offset from the most stable computed form: 35.07 kcal/mol of atoms

***

Here is a geometry-optimized ReCI2O structure from the Alexandria database. Energies are from GGA-PBE.

abc: 5.5070 5.5070 3.7520
angles: 90.00 90.00 90.00
Positions (direct):
Re: 0.0000 0.0000 0.0000
C: 0.5000 0.5000 0.5000
I: 0.0000 0.5000 0.0000
I: 0.5000 0.0000 0.0000
O: 0.0000 0.0000 0.5000

Calculated values
* space-group type: P4/mmm (123)
* crystal system: tetragonal
* offset from the most stable computed form: 0.00 kcal/mol of atoms

***

Here is a geometry-optimized ReCIO2 structure from the Alexandria database. Energies are from GGA-PBE.

abc: 3.7568 3.7568 5.8579
angles: 90.00 90.00 90.00
Positions (direct):
Re: 0.0000 0.0000 0.0000
C: 0.5000 0.5000 0.5000
I: 0.0000 0.0000 0.5000
O: 0.0000 0.5000 0.0000
O: 0.5000 0.0000 0.0000

Calculated values
* space-group type: P4/mmm (123)
* crystal system: tetragonal
* offset from the most stable computed form: 0.00 kcal/mol of atoms

***

Here is a geometry-optimized ReCI2O structure from the Alexandria database. Energies are from GGA-PBE.

abc: 5.0637 5.0637 3.1885
angles: 90.00 90.00 90.00
Positions (direct):
Re: 0.0000 0.0000 0.0000
C: 0.5000 0.5000 0.5000
I: 0.0000 0.5000 0.5000
I: 0.5000 0.0000 0.5000
O: 0.5000 0.5000 0.0000

Calculated values
* space-group type: P4/mmm (123)
* crystal system: tetragonal
* offset from the most stable computed form: 11.01 kcal/mol of atoms

***

Here is a geometry-optimized RuCIO2 structure from the Alexandria database. Energies are from GGA-PBE.

abc: 3.7589 3.7589 4.4722
angles: 90.00 90.00 90.00
Positions (direct):
Ru: 0.0000 0.0000 0.0000
C: 0.5000 0.5000 0.5000
I: 0.5000 0.5000 0.0000
O: 0.0000 0.5000 0.5000
O: 0.5000 0.0000 0.5000

Calculated values
* space-group type: P4/mmm (123)
* crystal system: tetragonal
* offset from the most stable computed form: 20.01 kcal/mol of atoms

***

Here is a geometry-optimized RuCI2O structure from the Alexandria database. Energies are from GGA-PBE.

abc: 5.4702 5.4702 3.7200
angles: 90.00 90.00 90.00
Positions (direct):
Ru: 0.0000 0.0000 0.0000
C: 0.5000 0.5000 0.5000
I: 0.0000 0.5000 0.0000
I: 0.5000 0.0000 0.0000
O: 0.0000 0.0000 0.5000

Calculated values
* space-group type: P4/mmm (123)
* crystal system: tetragonal
* offset from the most stable computed form: 0.00 kcal/mol of atoms

***

Here is a geometry-optimized RuCI2O structure from the Alexandria database. Energies are from GGA-PBE.

abc: 5.0550 5.0550 3.2011
angles: 90.00 90.00 90.00
Positions (direct):
Ru: 0.0000 0.0000 0.0000
C: 0.5000 0.5000 0.5000
I: 0.0000 0.5000 0.5000
I: 0.5000 0.0000 0.5000
O: 0.5000 0.5000 0.0000

Calculated values
* space-group type: P4/mmm (123)
* crystal system: tetragonal
* offset from the most stable computed form: 3.92 kcal/mol of atoms

***

Here is a geometry-optimized RuCIO2 structure from the Alexandria database. Energies are from GGA-PBE.

abc: 3.6863 3.6863 6.9128
angles: 90.00 90.00 90.00
Positions (direct):
Ru: 0.0000 0.0000 0.0000
C: 0.5000 0.5000 0.5000
I: 0.0000 0.0000 0.5000
O: 0.0000 0.5000 0.0000
O: 0.5000 0.0000 0.0000

Calculated values
* space-group type: P4/mmm (123)
* crystal system: tetragonal
* offset from the most stable computed form: 0.00 kcal/mol of atoms